# PBE-GGA PaCuSnAu, optimized geometry
# Formation enthalpy at 0 K ... -236 meV/atom
# DOS at the Fermi energy ... 18.6 states/eV/cell
# M_tot ... 0.0 Bohr magnetons per cell
# Electronic total energy ... -21.816 eV per formula unit
data_PaCuSnAu
_cell_length_a 6.916
_cell_length_b 6.916
_cell_length_c 6.916
_cell_angle_alpha 90.00
_cell_angle_beta 90.00
_cell_angle_gamma 90.00
_space_group_name_H-M_alt 'F -4 3 m'
_space_group_IT_number 216
_space_group_name_Hall 'F -4 2 3'
loop_
_atom_site_label
_atom_site_fract_x
_atom_site_fract_y
_atom_site_fract_z
Pa1 0.000 0.000 0.000
Cu1 0.250 0.250 0.250
Sn1 0.000 0.000 0.500
Au1 0.250 0.250 0.750


# PBE-GGA PaTlCuAu, optimized geometry
# Formation enthalpy at 0 K ... -65 meV/atom
# DOS at the Fermi energy ... 12.7 states/eV/cell
# M_tot ... 0.0 Bohr magnetons per cell
# Electronic total energy ... -19.495 eV per formula unit
data_PaTlCuAu
_cell_length_a 6.950
_cell_length_b 6.950
_cell_length_c 6.950
_cell_angle_alpha 90.00
_cell_angle_beta 90.00
_cell_angle_gamma 90.00
_space_group_name_H-M_alt 'F -4 3 m'
_space_group_IT_number 216
_space_group_name_Hall 'F -4 2 3'
loop_
_atom_site_label
_atom_site_fract_x
_atom_site_fract_y
_atom_site_fract_z
Pa1 0.000 0.000 0.000
Tl1 0.000 0.000 0.500
Cu1 0.250 0.250 0.250
Au1 0.250 0.250 0.750


# PBE-GGA TmPaCuAu, optimized geometry
# Formation enthalpy at 0 K ... -203 meV/atom
# DOS at the Fermi energy ... 18.6 states/eV/cell
# M_tot ... 1.5 Bohr magnetons per cell
# Electronic total energy ... -22.155 eV per formula unit
data_TmPaCuAu
_cell_length_a 7.052
_cell_length_b 7.052
_cell_length_c 7.052
_cell_angle_alpha 90.00
_cell_angle_beta 90.00
_cell_angle_gamma 90.00
_space_group_name_H-M_alt 'F -4 3 m'
_space_group_IT_number 216
_space_group_name_Hall 'F -4 2 3'
loop_
_atom_site_label
_atom_site_fract_x
_atom_site_fract_y
_atom_site_fract_z
Tm1 0.000 0.000 0.000
Pa1 0.000 0.000 0.500
Cu1 0.250 0.250 0.250
Au1 0.250 0.250 0.750